The following is a DFT calculation (PBE-GGA) of a relaxed structure of SrZnPb2.

```
4
Lattice="-0.677 0.453 6.518 5.965 -1.190 -2.480 1.953 2.994 0.895" Properties=species:S:1:pos:R:3 pbc="T T T"
Pb 2.644 -0.369 2.019
Pb 0.000 0.000 0.000
Sr 0.638 1.724 3.707
Zn 3.959 0.902 -0.792
```

Summary:
Crystal system   monoclinic
E   -10.7 eV per cell
ΔH_f (0 K)   -0.081 eV per atom
Space-group type   C2/m, No. 12

=====

The following is a DFT calculation (PBE-GGA) of a relaxed structure of SrZr2Au.

```
4
Lattice="-3.065 -5.096 1.733 0.161 -1.570 5.989 -1.586 4.284 -4.183" Properties=species:S:1:pos:R:3 pbc="T T T"
Au -1.503 -3.451 3.998
Zr -2.969 -1.882 0.485
Zr -2.864 -6.575 7.617
Sr -1.510 -0.473 3.023
```

Summary:
Crystal system   orthorhombic
Energy relative to the lowest polymorph listed for this composition   0.340 eV per atom
E   -21.5 eV per cell
ΔH_f (0 K)   0.149 eV per atom
Space-group type   Imm2, No. 44

=====

The following is a DFT calculation (PBE-GGA) of a relaxed structure of Ta2ReSb.

```
4
Lattice="-1.177 -0.214 4.498 2.011 -2.184 0.422 4.488 2.681 1.302" Properties=species:S:1:pos:R:3 pbc="T T T"
Re 3.254 0.008 0.852
Ta 4.574 2.571 1.320
Ta 1.241 0.020 2.734
Sb 3.989 0.613 3.482
```

Summary:
E_form (uncorrected)   0.16 eV/atom
Crystal system   monoclinic
E   -39.6 eV per cell
Space-group type   Pm, No. 6

=====

The following is a DFT calculation (PBE-GGA) of a relaxed structure of LiHfInHg.

```
4
Lattice="-1.520 -3.405 3.145 -2.250 -4.005 -1.641 2.258 -4.320 0.196" Properties=species:S:1:pos:R:3 pbc="T T T"
Hf -0.756 -5.865 0.850
Li 0.000 0.000 0.000
In -0.378 -2.933 0.425
Hg -1.134 -8.798 1.275
```

Summary:
Crystal system   cubic
E   -15.4 eV per cell
ΔH_f (0 K)   -0.123 eV per atom
Space-group type   F-43m, No. 216

=====

The following is a DFT calculation (PBE-GGA) of a relaxed structure of Ca3Y4.

```
7
Lattice="-5.223 1.529 -3.608 -0.763 -3.077 5.708 -0.441 6.060 3.208" Properties=species:S:1:pos:R:3 pbc="T T T"
Y -0.320 4.389 2.323
Y -3.957 3.024 1.101
Y -0.122 1.671 0.885
Y -2.470 1.489 4.207
Ca -2.611 0.765 -1.804
Ca -2.993 -0.774 1.050
Ca -0.381 -1.538 2.854
```

Summary:
Crystal system   hexagonal
E   -29.7 eV per cell
ΔH_f (0 K)   0.313 eV per atom
Space-group type   P6/mmm, No. 191

=====

The following is a DFT calculation (PBE-GGA) of a relaxed structure of Nd6Zn5Ge.

```
12
Lattice="4.924 -0.029 1.641 0.040 7.384 0.013 -0.014 -0.015 8.250" Properties=species:S:1:pos:R:3 pbc="T T T"
Nd 0.810 1.831 5.811
Nd 0.830 5.523 5.818
Nd 2.472 1.787 0.824
Nd 4.140 5.509 4.094
Nd 4.120 1.816 4.087
Nd 2.492 5.567 0.831
Zn 3.297 3.663 6.590
Zn 1.653 3.677 3.315
Zn 1.592 -0.015 3.430
Zn 3.318 -0.029 6.462
Zn 0.020 3.692 0.007
Ge 0.000 0.000 0.000
```

Summary:
Crystal system   orthorhombic
E   -44.2 eV per cell
ΔH_f (0 K)   -0.380 eV per atom
Space-group type   Cmmm, No. 65

=====

The following is a DFT calculation (PBE-GGA) of a relaxed structure of Mn3Tc5.

```
8
Lattice="-2.862 -2.784 -3.542 0.852 -4.404 2.893 -3.151 0.701 1.995" Properties=species:S:1:pos:R:3 pbc="T T T"
Mn -1.654 -3.648 2.280
Mn -3.508 -2.839 -0.934
Mn -1.005 -3.594 -0.325
Tc -2.096 -1.511 0.829
Tc -1.431 -1.392 -1.771
Tc 0.000 0.000 0.000
Tc 0.426 -2.202 1.446
Tc -3.065 -4.976 0.516
```

Summary:
Crystal system   orthorhombic
Energy relative to the lowest polymorph listed for this composition   0.044 eV per atom
E   -78.6 eV per cell
ΔH_f (0 K)   0.097 eV per atom
Space-group type   Cmmm, No. 65

=====

The following is a DFT calculation (PBE-GGA) of a relaxed structure of KBaSi.

```
3
Lattice="-1.534 -2.005 -4.945 -3.036 -1.117 4.512 -2.163 3.257 -0.650" Properties=species:S:1:pos:R:3 pbc="T T T"
Si -3.906 0.650 0.948
Ba -0.007 0.011 -0.002
K -2.821 -0.526 -2.028
```

Summary:
E_form (uncorrected)   0.19 eV/atom
Crystal system   trigonal
Energy relative to the lowest polymorph listed for this composition   0.427 eV per atom
E   -7.9 eV per cell
Space-group type   P3m1, No. 156

=====

The following is a DFT calculation (PBE-GGA) of a relaxed structure of MnNiIr2.

```
4
Lattice="-0.962 1.984 -1.696 -1.333 -3.174 -2.956 -3.902 -0.203 1.977" Properties=species:S:1:pos:R:3 pbc="T T T"
Ni -2.617 -1.688 -0.489
Mn -2.432 0.890 0.141
Ir -1.147 -0.595 -2.326
Ir 0.000 0.000 0.000
```

Summary:
Crystal system   orthorhombic
E   -32.3 eV per cell
ΔH_f (0 K)   0.098 eV per atom
Space-group type   Pmmm, No. 47

=====

The following is a DFT calculation (PBE-GGA) of a relaxed structure of PaBiH3.

```
10
Lattice="-1.618 -5.413 -1.251 3.567 -0.009 -4.556 2.048 1.242 5.243" Properties=species:S:1:pos:R:3 pbc="T T T"
Pa 0.000 0.000 0.000
Pa 0.974 -2.711 -2.903
H 1.511 -0.735 1.170
H 2.271 -1.360 -3.730
H 3.509 -2.825 0.888
H 1.726 -2.820 3.166
H 0.487 -1.355 -1.452
H 2.485 -3.445 -1.733
Bi 3.294 -0.739 -1.108
Bi 0.702 -3.441 0.545
```

Summary:
Crystal system   orthorhombic
E   -48.3 eV per cell
Space-group type   Cmmm, No. 65

=====

The following is a DFT calculation (PBE-GGA) of a relaxed structure of SrTcC.

```
6
Lattice="-2.568 1.356 2.582 -1.851 -3.417 -0.046 5.155 -2.883 6.642" Properties=species:S:1:pos:R:3 pbc="T T T"
Sr 3.204 -4.018 5.297
Sr -0.258 0.104 2.613
C 1.211 -2.903 2.730
C 1.734 -1.010 5.180
Tc 0.368 -2.472 4.589
Tc 2.577 -1.441 3.321
```

Summary:
Crystal system   tetragonal
Energy relative to the lowest polymorph listed for this composition   0.000 eV per atom
E   -41.7 eV per cell
ΔH_f (0 K)   0.147 eV per atom
Space-group type   P4/nmm, No. 129

=====

The following is a DFT calculation (PBE-GGA) of a relaxed structure of Ti2SiH6O9.

```
144
Lattice="-3.150 10.595 -1.383 -2.344 -2.092 -10.688 -11.346 -2.972 3.070" Properties=species:S:1:pos:R:3 pbc="T T T"
O -11.419 2.646 -6.976
O -11.117 -0.309 -1.395
O -10.440 7.384 0.661
O -5.979 4.144 0.500
O -11.389 -1.255 -4.147
O -9.963 1.107 -3.653
O -14.595 6.104 -8.306
O -2.844 4.965 -0.348
O -5.421 2.885 -2.024
O -6.039 -1.700 -0.024
O -2.781 -0.541 -10.799
O -12.291 5.346 -0.262
O -4.685 7.338 -2.321
O -2.441 -1.379 -5.000
O -6.567 1.032 -7.222
O -11.233 7.009 -2.065
O -3.143 2.144 -0.816
O -7.115 8.063 -10.330
O -2.271 2.735 -5.746
O -8.114 -2.865 -3.465
O -6.877 4.424 -5.347
O -6.575 8.397 -0.385
O -11.652 2.658 2.035
O -8.733 2.374 -6.036
O -8.101 6.127 -0.067
O -2.713 9.044 -1.272
O -10.265 -2.866 -8.615
O -7.285 3.729 -8.095
O -8.739 -0.596 -8.934
O -3.206 3.098 -8.850
O -4.858 0.270 -1.643
O -5.451 6.786 -4.853
O -7.099 8.092 -3.184
O -5.607 -1.477 -6.935
O -10.307 0.053 -6.210
O -2.245 -0.573 -0.695
O -4.548 0.185 -8.738
O -8.107 3.157 -2.964
O -11.982 5.261 -7.358
O -11.249 -3.686 -2.617
O -8.242 6.241 -8.370
O -9.741 -2.560 -5.816
O -4.177 0.634 -6.099
O -8.517 3.479 1.187
O -0.809 0.022 -2.968
O -9.555 1.802 -0.906
O -6.533 5.478 -2.790
O -8.598 -0.710 -0.630
O -12.154 -1.807 -6.680
O -11.948 2.188 -2.314
O -3.511 1.683 -3.453
O -12.663 4.897 -2.901
O -5.723 5.840 -7.605
O -6.486 5.277 -10.136
O -9.402 5.516 -5.467
O -2.288 5.405 -3.221
O -10.801 7.232 -8.977
O -4.468 4.147 -4.338
O -13.329 3.848 -5.547
O -5.576 -2.200 -4.152
O -10.742 3.412 -4.301
O -10.272 4.499 -1.778
O -6.098 2.120 -4.699
O -10.354 0.254 1.136
O -12.372 1.384 -4.662
O -3.223 5.768 -6.325
O -6.400 -1.853 -9.661
O -4.685 8.481 -9.103
O -13.697 3.388 -8.185
O -4.892 3.344 -6.686
O -7.438 0.015 -3.533
O -9.725 -2.532 1.330
H -7.000 7.502 -0.221
H -15.025 5.989 -7.406
H -10.956 2.025 1.765
H -7.200 0.086 -2.586
H -7.208 -1.282 -9.492
H -1.996 5.261 -2.281
H -5.274 -1.985 -5.058
H -9.113 0.573 -3.631
H -7.765 5.300 0.372
H -7.727 4.958 -5.369
H -9.596 6.469 -5.261
H -9.141 2.977 0.624
H -8.568 -0.301 -8.016
H -8.869 -2.927 -4.085
H -8.272 5.832 -0.985
H -9.840 -1.971 -8.780
H -10.986 -2.863 -3.077
H -13.605 6.363 -3.826
H -4.386 7.579 -8.869
H -6.481 1.262 -4.344
H -3.235 -0.832 -5.174
H -3.721 4.544 -3.797
H -3.498 3.242 -9.789
H -6.312 8.271 -9.764
H -9.075 0.231 -9.373
H -10.528 -2.740 0.764
H -2.538 6.352 -3.228
H -4.583 8.977 -8.247
H -5.884 3.506 -10.766
H -5.546 3.919 -0.348
H -11.294 1.613 -8.652
H -11.566 7.516 -3.942
H -12.434 2.262 -1.439
H -7.244 -0.938 -3.740
H -3.205 4.055 -0.332
H -1.814 -0.458 -1.595
H -5.854 8.394 -5.923
H -7.971 8.458 -4.915
H -7.699 2.554 -9.625
H -4.406 3.269 -7.561
H -1.109 0.924 -3.202
H -13.119 0.987 -5.203
H -13.635 1.476 -8.668
H -9.632 6.813 0.492
H -2.956 2.151 -8.842
H -10.359 4.269 -4.657
H -9.640 5.445 -6.414
H -0.911 -0.474 -3.824
Si -5.944 6.927 -3.291
Si -5.223 0.090 -7.244
Si -10.896 -1.396 -5.709
Si -11.617 5.441 -1.756
Si -4.233 1.750 -1.981
Si -9.906 0.264 -0.445
Si -6.934 5.267 -8.555
Si -12.607 3.781 -7.020
Ti -12.427 -2.974 -8.085
Ti -4.413 8.505 -0.916
Ti -4.474 -0.890 -10.237
Ti -7.020 2.693 -6.554
Ti -7.784 -2.048 0.347
Ti -10.413 1.804 -5.636
Ti -12.449 6.691 -8.429
Ti -9.820 2.838 -2.446
Ti -4.965 5.375 -5.987
Ti -3.922 2.240 -5.165
Ti -11.875 0.156 -3.013
Ti -6.427 3.727 -3.364
Ti -12.366 6.421 1.237
Ti -9.056 7.579 -9.348
Ti -12.918 3.291 -3.835
Ti -4.391 -1.159 -0.571
```

Summary:
Crystal system   tetragonal
E   -972.3 eV per cell
Space-group type   P4_2/mbc, No. 135

=====

The following is a DFT calculation (PBE-GGA) of a relaxed structure of PuSe2Br4.

```
7
Lattice="3.921 0.000 -1.107 -0.222 7.709 -0.785 0.441 0.790 9.058" Properties=species:S:1:pos:R:3 pbc="T T T"
Br 3.637 1.171 5.383
Br 2.039 1.970 -0.275
Br 2.101 6.529 7.442
Br 0.504 7.327 1.783
Se 1.126 3.623 3.986
Se 3.015 4.875 3.180
Pu 0.000 0.000 0.000
```

Summary:
E_form (uncorrected)   -0.84 eV/atom
Crystal system   monoclinic
E   -33.9 eV per cell
Space-group type   C2/m, No. 12

=====

The following is a DFT calculation (PBE-GGA) of a relaxed structure of Na5B7C3.

```
30
Lattice="8.518 0.210 -3.024 7.976 2.999 -3.024 -0.800 -0.156 13.330" Properties=species:S:1:pos:R:3 pbc="T T T"
B 15.321 2.981 3.148
B 7.104 1.382 -0.989
B 5.711 1.111 4.288
B 13.388 2.605 0.482
B 9.986 1.943 2.997
B 3.177 0.618 7.997
B -0.193 -0.038 10.581
B 10.426 2.029 -3.616
B 12.400 2.413 -0.890
B 12.033 2.341 5.809
B 2.801 0.545 0.268
B 13.103 2.550 7.311
B 0.301 0.059 4.028
B 8.664 1.686 8.390
Na 2.981 0.580 4.113
Na 2.612 0.508 10.763
Na 9.331 1.816 5.669
Na 16.088 3.130 0.588
Na 13.158 2.560 -3.493
Na 9.728 1.893 -0.923
Na 12.689 2.469 3.144
Na 16.487 3.208 -6.028
Na 5.921 1.152 8.265
Na 6.358 1.237 1.590
C 2.219 0.432 6.688
C 15.823 3.079 -3.358
C 5.324 1.036 10.992
C 6.643 1.293 5.556
C 9.026 1.756 1.661
C 3.694 0.719 1.498
```

Summary:
Crystal system   monoclinic
Energy relative to the lowest polymorph listed for this composition   0.017 eV per atom
E   -158.1 eV per cell
ΔH_f (0 K)   0.130 eV per atom
Space-group type   Cm, No. 8

=====

The following is a DFT calculation (PBE-GGA) of a relaxed structure of ErPu2S4.

```
14
Lattice="-2.811 0.523 -2.539 1.318 -6.667 0.047 -8.906 -1.693 9.510" Properties=species:S:1:pos:R:3 pbc="T T T"
S -7.831 -4.326 7.778
S -2.231 -0.737 2.318
S -1.406 0.262 -1.270
S -8.169 -7.100 4.700
S -4.793 -3.934 1.616
S -5.606 -3.903 5.402
S -2.569 -3.511 -0.760
S -5.859 -0.585 3.486
Pu -6.545 -5.413 3.250
Pu -0.645 -1.814 0.340
Pu -3.854 -2.424 3.768
Pu -9.754 -6.023 6.678
Er -2.293 -5.257 1.455
Er -8.107 -2.580 5.563
```

Summary:
E_form (uncorrected)   -1.79 eV/atom
Crystal system   orthorhombic
E   -124.5 eV per cell
Space-group type   Cmcm, No. 63

=====

The following is a DFT calculation (PBE-GGA) of a relaxed structure of KSbO3.

```
10
Lattice="-1.847 -0.934 3.458 3.816 -1.390 3.980 1.452 6.836 2.620" Properties=species:S:1:pos:R:3 pbc="T T T"
O 1.292 3.448 5.147
O 2.129 1.063 4.911
O -0.135 0.236 3.524
O 2.527 1.720 7.653
O 0.894 2.792 2.405
O 3.556 4.276 6.534
K 2.064 5.702 3.822
K 1.357 -1.191 6.236
Sb 0.380 1.908 4.237
Sb 3.040 2.604 5.821
```

Summary:
E_form (uncorrected)   -1.51 eV/atom
Crystal system   triclinic
E   -55.3 eV per cell
Space-group type   P-1, No. 2

=====

The following is a DFT calculation (PBE-GGA) of a relaxed structure of Pr2SmScBi5.

```
9
Lattice="5.643 0.000 0.000 0.000 5.643 0.000 0.000 0.000 11.440" Properties=species:S:1:pos:R:3 pbc="T T T"
Bi 2.821 2.821 0.000
Bi 0.000 2.821 5.720
Bi 0.000 0.000 2.730
Bi 2.821 0.000 5.720
Bi 0.000 0.000 8.710
Sm 0.000 0.000 5.720
Sc 0.000 0.000 0.000
Pr 2.821 2.821 8.023
Pr 2.821 2.821 3.417
```

Summary:
Crystal system   tetragonal
E   -40.4 eV per cell
ΔH_f (0 K)   -0.044 eV per atom
Space-group type   P4/mmm, No. 123